## Sr2TcIr (PBE)

Data for a relaxed structure of Sr2TcIr.

```
Sr2TcIr
1.0
4.898 0.000 0.000
0.000 4.267 0.000
-2.441 0.000 5.523
Sr Tc Ir
2 1 1
direct
0.000 0.000 0.000 Sr
0.283 0.500 0.567 Sr
0.687 0.000 0.375 Tc
0.592 0.500 0.184 Ir
```

Output
* E_form: 0.1525 eV per atom
* energy above the most stable polymorph in this dataset: 0.000 eV/atom
* SG: Pm (6)
* magnetic moment: 0.279 μB/f.u.


## AcSm5Dy2Y (PBE)

Data for a relaxed structure of AcSm5Dy2Y.

```
AcSm5Dy2Y
1.0
2.783 -12.092 0.000
2.783 12.092 0.000
0.000 0.000 9.484
Ac Sm Dy Y
2 10 4 2
direct
0.102 0.898 0.500 Ac
0.898 0.102 0.000 Ac
0.025 0.975 0.174 Sm
0.105 0.895 0.895 Sm
0.190 0.810 0.203 Sm
0.242 0.758 0.565 Sm
0.491 0.509 0.394 Sm
0.509 0.491 0.894 Sm
0.758 0.242 0.065 Sm
0.810 0.190 0.703 Sm
0.895 0.105 0.395 Sm
0.975 0.025 0.674 Sm
0.327 0.673 0.251 Dy
0.388 0.612 0.641 Dy
0.612 0.388 0.141 Dy
0.673 0.327 0.751 Dy
0.263 0.737 0.891 Y
0.737 0.263 0.391 Y
```

Output
* E_form: 0.1478 eV per atom
* SG: Cmc2_1 (36)
* magnetic moment: 0.000 μB/f.u.


## CaNb2PtC (PBE)

Data for a relaxed structure of CaNb2PtC.

```
CaNb2PtC
1.0
4.280 0.000 0.000
0.000 4.280 0.000
0.000 0.000 4.804
Ca Nb Pt C
1 2 1 1
direct
0.000 0.000 0.000 Ca
0.000 0.500 0.500 Nb
0.500 0.000 0.500 Nb
0.500 0.500 0.000 Pt
0.000 0.000 0.500 C
```

Output
* E_form: -0.0341 eV per atom
* SG: P4/mmm (123)
* magnetic moment: 0.076 μB/f.u.


## NiBi2Pd (PBE)

Data for a relaxed structure of NiBi2Pd.

```
NiBi2Pd
1.0
0.000 3.456 3.456
3.456 0.000 3.456
3.456 3.456 0.000
Ni Bi Pd
1 2 1
direct
0.000 0.000 0.000 Ni
0.250 0.250 0.250 Bi
0.750 0.750 0.750 Bi
0.500 0.500 0.500 Pd
```

Output
* E_form: 0.0145 eV per atom
* energy above the most stable polymorph in this dataset: 0.084 eV/atom
* SG: Fm-3m (225)
* magnetic moment: 0.000 μB/f.u.